Density functional theory data (PBE-GGA) for an optimized crystal structure of K3S2BrO8.

Properties
VASP energy = -73.5 eV for the cell shown
Energy relative to the elements, uncorrected = -1.47 eV/atom

abc: 5.7447 5.7447 9.4659
angles: 90.00 90.00 120.00
With the nearest neighbours (Å) after each atom.
Sites, in units of the cell vectors:
O 0.1912 0.3825 0.2191  1 S 1.49
O 0.6175 0.8088 0.2191  1 S 1.49
O 0.8088 0.6175 0.7809  1 S 1.49
O 0.3333 0.6667 0.0113  1 S 1.49
O 0.8088 0.1912 0.7809  1 S 1.49
O 0.1912 0.8088 0.2191  1 S 1.49
O 0.3825 0.1912 0.7809  1 S 1.49
O 0.6667 0.3333 0.9887  1 S 1.49
Br 0.0000 0.0000 0.5000  6 O 3.27
K 0.0000 0.0000 0.0000  6 O 2.81
K 0.6667 0.3333 0.2848  7 O 2.80-2.95
K 0.3333 0.6667 0.7152  7 O 2.80-2.95
S 0.3333 0.6667 0.1692  4 O 1.49
S 0.6667 0.3333 0.8308  4 O 1.49

=====

Density functional theory data (PBE-GGA) for an optimized crystal structure of K5SbBr2O4.

Properties
VASP energy = -51.8 eV for the cell shown
Energy relative to the elements, uncorrected = -1.58 eV/atom

abc: 6.7683 6.2968 8.6520
angles: 90.00 90.00 122.51
With the nearest neighbours (Å) after each atom.
Sites, in units of the cell vectors:
Sb 0.4096 0.0000 0.0000  4 O 1.92-1.93
O 0.5835 0.0000 0.8240  1 Sb 1.92
O 0.3861 0.2919 0.0000  1 Sb 1.93
O 0.0942 0.7081 0.0000  1 Sb 1.93
O 0.5835 0.0000 0.1760  1 Sb 1.92
Br 0.3382 0.3757 0.5000  6 K 3.16-3.44
Br 0.9625 0.6243 0.5000  6 K 3.16-3.44
K 0.5152 0.0000 0.5000  2 O 2.84, 2 Br 3.17
K 0.0632 0.3601 0.7987  3 O 2.72-3.00
K 0.0632 0.3601 0.2013  3 O 2.72-3.00
K 0.7032 0.6399 0.7987  3 O 2.72-3.00
K 0.7032 0.6399 0.2013  3 O 2.72-3.00

=====

Density functional theory data (PBE-GGA) for an optimized crystal structure of KSbBrO2.

Properties
VASP energy = -46.6 eV for the cell shown
Energy relative to the elements, uncorrected = -1.30 eV/atom

abc: 5.5400 6.2976 7.4303
angles: 115.07 90.00 90.00
With the nearest neighbours (Å) after each atom.
Sites, in units of the cell vectors:
Sb 0.7500 0.0553 0.1106  4 O 2.03
Sb 0.2500 0.9447 0.8894  4 O 2.03
O 0.0000 0.2030 0.0000  2 Sb 2.03
O 0.5000 0.7970 0.0000  2 Sb 2.03
O 0.0000 0.7970 0.0000  2 Sb 2.03
O 0.5000 0.2030 0.0000  2 Sb 2.03
Br 0.2500 0.2315 0.4630  4 K 3.39-3.47, 4 O 3.64, 2 Sb 3.65
Br 0.7500 0.7685 0.5370  4 K 3.39-3.47, 4 O 3.64, 2 Sb 3.65
K 0.2500 0.6234 0.2468  4 O 2.86
K 0.7500 0.3766 0.7532  4 O 2.86

=====

Density functional theory data (PBE-GGA) for an optimized crystal structure of KSeBr2O.

Properties
VASP energy = -8.2 eV for the cell shown
Polymorph energy (0 for the lowest one) = 1337 meV/atom
Energy relative to the elements, uncorrected = 0.93 eV/atom

abc: 6.1787 6.1787 6.5569
angles: 90.00 90.00 90.00
With the nearest neighbours (Å) after each atom.
Sites, in units of the cell vectors:
O 0.5000 0.5000 0.5000  4 Se 4.37, 8 Br 4.50
K 0.0000 0.0000 0.0000  4 Br 3.09, 2 Se 3.28
Br 0.0000 0.5000 0.0000  2 K 3.09
Br 0.5000 0.0000 0.0000  2 K 3.09
Se 0.0000 0.0000 0.5000  2 K 3.28

=====

Density functional theory data (PBE-GGA) for an optimized crystal structure of KSeBr2O.

Properties
VASP energy = -14.9 eV for the cell shown
Polymorph energy (0 for the lowest one) = 0 meV/atom
Energy relative to the elements, uncorrected = -0.40 eV/atom

abc: 6.4650 6.4650 3.6463
angles: 90.00 90.00 90.00
With the nearest neighbours (Å) after each atom.
Sites, in units of the cell vectors:
Br 0.0000 0.5000 0.0000  2 O 3.23
Br 0.5000 0.0000 0.0000  2 O 3.23
Se 0.0000 0.0000 0.5000  2 O 1.82
K 0.5000 0.5000 0.5000  2 K 3.65, 8 Br 3.71
O 0.0000 0.0000 0.0000  2 Se 1.82

=====

Density functional theory data (PBE-GGA) for an optimized crystal structure of K6SeBr2O.

Properties
VASP energy = -62.5 eV for the cell shown
Energy relative to the elements, uncorrected = -1.29 eV/atom

abc: 7.7036 8.7406 11.3453
angles: 90.00 90.00 90.00
With the nearest neighbours (Å) after each atom.
Sites, in units of the cell vectors:
Se 0.5000 0.3100 0.0000  6 K 3.17-3.23
Se 0.0000 0.6900 0.5000  6 K 3.17-3.23
K 0.5000 0.2042 0.2681  1 O 2.63
K 0.0000 0.7958 0.7681  1 O 2.63
K 0.7347 0.9764 0.5000  1 O 2.69
K 0.5000 0.2042 0.7319  1 O 2.63
K 0.7630 0.3934 0.5000  1 O 2.61
K 0.7653 0.0236 0.0000  1 O 2.69
K 0.7370 0.6066 0.0000  1 O 2.61
K 0.2630 0.6066 0.0000  1 O 2.61
K 0.0000 0.7958 0.2319  1 O 2.63
K 0.2653 0.9764 0.5000  1 O 2.69
K 0.2370 0.3934 0.5000  1 O 2.61
K 0.2347 0.0236 0.0000  1 O 2.69
O 0.0000 0.7957 0.0000  6 K 2.61-2.69
O 0.5000 0.2043 0.5000  6 K 2.61-2.69
Br 0.5000 0.8314 0.7954  5 K 3.34-3.55
Br 0.5000 0.8314 0.2046  5 K 3.34-3.55
Br 0.0000 0.1686 0.7046  5 K 3.34-3.55
Br 0.0000 0.1686 0.2954  5 K 3.34-3.55

=====

Density functional theory data (PBE-GGA) for an optimized crystal structure of K2SmBrO2.

Properties
VASP energy = -31.3 eV for the cell shown
Energy relative to the elements, uncorrected = -2.13 eV/atom

abc: 4.5919 4.5919 6.6390
angles: 90.00 90.00 90.00
With the nearest neighbours (Å) after each atom.
Sites, in units of the cell vectors:
K 0.5000 0.5000 0.7588  4 O 2.80
K 0.5000 0.5000 0.2412  4 O 2.80
O 0.5000 0.0000 0.0000  2 Sm 2.30
O 0.0000 0.5000 0.0000  2 Sm 2.30
Sm 0.0000 0.0000 0.0000  4 O 2.30
Br 0.0000 0.0000 0.5000  2 Sm 3.32, 8 K 3.67

=====

Density functional theory data (PBE-GGA) for an optimized crystal structure of KSrBrO.

Properties
VASP energy = -17.2 eV for the cell shown
Energy relative to the elements, uncorrected = -1.95 eV/atom

abc: 3.8829 3.8829 8.1323
angles: 76.19 76.19 60.00
With the nearest neighbours (Å) after each atom.
Sites, in units of the cell vectors:
Br 0.2072 0.2072 0.3784  3 K 3.22, 3 Sr 3.28, 1 O 3.44
K 0.7750 0.7750 0.6749  3 O 3.04, 1 Sr 3.11, 3 Br 3.22
O 0.3540 0.3540 0.9379  3 Sr 2.48
Sr 0.6424 0.6424 0.0729  3 O 2.48